Tb4Pm10Ho | Alexandria | PBE | optimized geometry; calculated volume = 590 Å³/cell; ΔH_f (0 K) = 0.70 eV/atom
1.0
-6.729 1.353 3.653
-7.386 1.445 -5.865
-5.064 -7.869 1.861
Pm Tb Ho
10 4 1
Cartesian
-8.032 0.693 -2.647
-2.593 -2.144 0.148
-7.776 -6.442 0.466
-7.907 -2.874 -1.089
-11.402 1.371 -0.817
-16.586 -2.927 -0.499
-11.272 -2.197 0.738
-5.963 -1.466 1.978
-13.216 -3.605 -2.329
-11.147 -5.764 2.296
-5.310 -0.718 -1.241
-13.868 -4.353 0.891
-10.629 -1.448 -2.493
-8.550 -3.624 2.142
0.000 0.000 0.000